1.
NaNbSe2, relaxed, DFT GGA-PBEsol; E_form (uncorrected) = -1.04 eV per atom; space group = No. 194; uncorrected energy = -24.10 eV/f.u.
1.0
3.5258 0.0000 0.0000
-1.7629 3.0534 0.0000
0.0000 0.0000 14.9079
Se Nb Na
4 2 2
direct
0.3333 0.6667 0.3599 Se
0.6667 0.3333 0.6401 Se
0.6667 0.3333 0.8599 Se
0.3333 0.6667 0.1401 Se
0.0000 0.0000 0.7500 Nb
0.0000 0.0000 0.2500 Nb
0.0000 0.0000 0.0000 Na
0.0000 0.0000 0.5000 Na

---

2.
BaTa2Al, relaxed, DFT GGA-PBEsol; Fermi-level density of states = 1.339 states/eV/atom; space group = No. 166; uncorrected energy = -28.38 eV/f.u.; energy of formation from the pure elements = 0.740 eV/atom
1.0
-1.5802 -1.1375 2.3085
-1.3077 -2.7102 -0.2552
8.0137 -5.9745 4.5169
Ba Ta Al
1 2 1
direct
0.0000 0.0000 0.0000 Ba
0.7631 0.7631 0.7106 Ta
0.2369 0.2369 0.2894 Ta
0.5000 0.5000 0.5000 Al

---

3.
Al4AgTe, relaxed, DFT GGA-PBEsol; Fermi-level density of states = 0.428 states/eV/atom; E_form (uncorrected) = 0.25 eV per atom; space group = No. 216; uncorrected energy = -21.68 eV/f.u.
1.0
-4.0793 3.1694 -1.7306
-5.1266 -1.1138 1.4692
-2.5964 3.2577 3.5110
Te Al Ag
1 4 1
direct
0.7500 0.7500 0.7500 Te
0.3739 0.3739 0.3739 Al
0.3739 0.8783 0.3739 Al
0.3739 0.3739 0.8783 Al
0.8783 0.3739 0.3739 Al
0.0000 0.0000 0.0000 Ag